# 1
Compound: KTaCrO6
Source: Alexandria
Functional: PBE with a Hubbard U
Structure: relaxed

## Properties
Crystal system: trigonal
Space-group type: P3 (143)
E_tot: -7.4240 eV per atom
Density: 4.4 Mg/m³

Lattice parameters (Å, degrees): 5.1917 5.1917 5.9723 90.00 90.00 60.00
Fractional positions:
O: 0.3894 0.0162 0.6811
O: 0.3775 0.5980 0.3172
O: 0.5980 0.0244 0.3172
O: 0.0244 0.3776 0.3172
O: 0.5943 0.3895 0.6811
O: 0.0162 0.5943 0.6811
Ta: 0.6666 0.6667 0.4523
K: 0.0000 0.0000 0.0086
Cr: 0.3333 0.3333 0.5441

# 2
Compound: K3TaCr3O8
Source: Alexandria
Functional: PBE with a Hubbard U
Structure: relaxed

## Properties
Crystal system: monoclinic
Space-group type: C2/m (12)
E_tot: -7.1465 eV per atom
Density: 4.5 Mg/m³

Lattice parameters (Å, degrees): 6.1714 6.3350 7.1783 115.77 90.00 119.15
Last column: magnetic moment on the atom in μB.
Fractional positions:
O: 0.7149 0.4297 0.6580  -0.05
O: 0.2851 0.5703 0.3420  -0.05
O: 0.7453 0.9744 0.6777  -0.03
O: 0.2114 0.4229 0.6647  -0.03
O: 0.7886 0.5771 0.3353  -0.03
O: 0.7709 0.0256 0.3223  -0.03
O: 0.2547 0.0256 0.3223  -0.03
O: 0.2291 0.9744 0.6777  -0.03
Ta: 0.0000 0.0000 0.5000  0.02
K: 0.5000 0.5000 0.0000  0.00
K: 0.0000 0.5000 0.0000  0.00
K: 0.0000 0.0000 0.0000  0.00
Cr: 0.0000 0.5000 0.5000  3.44
Cr: 0.5000 0.0000 0.5000  3.03
Cr: 0.5000 0.5000 0.5000  3.44

# 3
Compound: K2TaCrO
Source: Alexandria
Functional: PBE with a Hubbard U
Structure: relaxed

## Properties
Crystal system: tetragonal
Space-group type: P4/mmm (123)
E_tot: -4.5802 eV per atom
Density: 3.1 Mg/m³

Lattice parameters (Å, degrees): 6.9509 3.6007 6.9509 90.00 90.00 90.00
Last column: magnetic moment on the atom in μB.
Fractional positions:
K: 0.0000 0.0000 0.5000  0.04
K: 0.5000 0.0000 0.0000  0.04
O: 0.0000 0.5000 0.0000  -0.22
Ta: 0.5000 0.5000 0.5000  2.23
Cr: 0.0000 0.0000 0.0000  3.74

# 4
Compound: KTaCrO4
Source: Alexandria
Functional: PBE with a Hubbard U
Structure: relaxed

## Properties
Crystal system: triclinic
Space-group type: P-1 (2)
E_tot: -8.0311 eV per atom
Density: 4.6 Mg/m³

Lattice parameters (Å, degrees): 5.6514 7.0430 7.0320 113.60 94.26 104.18
Last column: magnetic moment on the atom in μB.
Fractional positions:
Cr: 0.2524 0.1494 0.4827  3.75
Cr: 0.7476 0.8506 0.5173  3.75
O: 0.4492 0.6272 0.2687  -0.01
O: 0.5439 0.1491 0.3193  0.01
O: 0.4561 0.8509 0.6807  0.01
O: 0.0303 0.8162 0.3395  -0.01
O: 0.0720 0.3493 0.3632  0.02
O: 0.5508 0.3728 0.7313  -0.01
O: 0.9697 0.1838 0.6605  -0.01
O: 0.9280 0.6507 0.6368  0.02
Ta: 0.2069 0.6597 0.4390  0.03
Ta: 0.7931 0.3403 0.5610  0.03
K: 0.6587 0.7880 0.0083  0.00
K: 0.3413 0.2120 0.9917  0.00